! MgIn2P, relaxed, DFT PBE; values from VASP
! D(E_F)   0.8 states/eV/f.u.
! Formation energy   -10.2 kJ/mol of atoms
! Offset from the most stable computed form   10 meV/atom
&SYSTEM
  ibrav = 0, nat = 4, ntyp = 3
/
ATOMIC_SPECIES
In 114.82 In.upf
Mg 24.30 Mg.upf
P 30.97 P.upf
CELL_PARAMETERS angstrom
-3.966 2.593 -1.263
-3.758 1.982 2.449
1.078 5.686 0.874
ATOMIC_POSITIONS crystal
In 0.054 0.054 0.996
In 0.274 0.274 0.249
Mg 0.437 0.437 0.647
P 0.736 0.736 0.609